No. 1
A plane-wave DFT calculation with PBE was carried out for an optimized crystal structure of NdDy2PuS4.

For the total magnetic moment, the calculation gives 5.83 Bohr magnetons per cell.

The space group is P2/m (No. 10) and the conventional cell measures 6.8610, 3.9407 and 6.8810 Å, with angles of 90.00, 109.15 and 90.00 degrees. The asymmetric unit holds Nd at (0.0000, 0.0000, 0.0000), Dy at (0.0000, 0.5000, 0.5000), Dy at (0.5000, 0.0000, 0.5000), Pu at (0.5000, 0.5000, 0.0000), S at (0.2515, 0.0000, 0.7424) and S at (0.2578, 0.5000, 0.2612).

No. 2
A plane-wave DFT calculation with PBE was carried out for an optimized crystal structure of MgHgRuSe2.

For the total magnetic moment, the calculation gives 2.64 Bohr magnetons per cell.

The space group is P4/mmm (No. 123) and the conventional cell measures 4.9308, 4.9308 and 5.1149 Å, with angles of 90.00, 90.00 and 90.00 degrees. The asymmetric unit holds Mg at (0.0000, 0.0000, 0.0000), Hg at (0.5000, 0.5000, 0.5000), Ru at (0.0000, 0.0000, 0.5000) and Se at (0.0000, 0.5000, 0.0000).

| no. | raw formation energy (eV/atom) |
| --- | --- |
| 1 | -1.96 |
| 2 | 0.79 |